The following is a PBE calculation of a relaxed structure of LaAl5CuNi, from OQMD via LeMat-Bulk.

Output
The value obtained for the uncorrected energy is -4.62 eV per atom. For the calculated volume, the calculation gives 139 Å³ per cell. The calculation puts the magnetic moment at 0.00 Bohr magnetons per cell.

Cell: 6.341 6.341 6.341 Å, 142.93 111.66 80.39°
Element x y z (fractional)
La (0.000, 0.000, 0.000)
Al (0.158, 0.343, 0.816)
Al (0.460, 0.654, 0.807)
Al (0.499, 0.999, 0.500)
Al (0.527, 0.343, 0.184)
Al (0.847, 0.654, 0.193)
Cu (0.743, 0.243, 0.500)
Ni (0.261, 0.761, 0.500)